## Sc2C (meta-GGA SCAN)

Data for a PBEsol-optimized structure of Sc2C.

Values from the calculation:
ΔE_f: -0.4834 eV/atom
Total DFT energy (no corrections): -13.34 eV per atom
V: 50 Å³/f.u.

Lattice parameters (Å, degrees): 3.314 5.491 5.491 90.00 90.00 90.00
Atoms (fractional coordinates):
C: 0.000 0.500 0.500
Sc: 0.500 0.298 0.702
Sc: 0.500 0.702 0.298
C: 0.500 0.000 0.000
Sc: 0.000 0.798 0.798
Sc: 0.000 0.202 0.202

***

## Sc3C2 (meta-GGA SCAN)

Data for a PBEsol-optimized structure of Sc3C2.

Values from the calculation:
ΔE_f: -0.5765 eV/atom
E above lowest polymorph: 9 meV per atom
Total DFT energy (no corrections): -13.16 eV per atom
V: 82 Å³/f.u.

Lattice parameters (Å, degrees): 3.330 3.330 8.715 78.99 78.99 60.00
Atoms (fractional coordinates):
C: 0.390 0.390 0.830
C: 0.610 0.610 0.170
Sc: 0.000 0.000 0.000
Sc: 0.236 0.236 0.291
Sc: 0.764 0.764 0.709

***

## Sc2C (meta-GGA SCAN)

Data for a PBEsol-optimized structure of Sc2C.

Values from the calculation:
ΔE_f: -0.5375 eV/atom
Total DFT energy (no corrections): -13.40 eV per atom
V: 53 Å³/f.u.

Lattice parameters (Å, degrees): 3.290 3.290 5.627 90.00 90.00 120.00
Atoms (fractional coordinates):
Sc: 0.667 0.333 0.782
Sc: 0.333 0.667 0.218
C: 0.000 0.000 0.000

***

## Sc3C4 (meta-GGA SCAN)

Data for a PBEsol-optimized structure of Sc3C4.

Values from the calculation:
ΔE_f: -0.5348 eV/atom
E above lowest polymorph: 0 meV per atom
Total DFT energy (no corrections): -12.41 eV per atom
V: 82 Å³/f.u.

Lattice parameters (Å, degrees): 7.429 7.429 14.926 90.00 90.00 90.00
Atoms (fractional coordinates):
C: 0.500 0.500 0.343
C: 0.097 0.693 0.667
Sc: 0.500 0.500 0.812
Sc: 0.800 0.403 0.000
Sc: 0.788 0.600 0.644
C: 0.193 0.597 0.167
C: 0.000 0.000 0.843
C: 0.000 0.000 0.457
Sc: 0.788 0.600 0.356
C: 0.693 0.903 0.333
C: 0.803 0.606 0.500
C: 0.197 0.394 0.500
C: 0.807 0.403 0.167
Sc: 0.000 0.000 0.312
C: 0.000 0.000 0.157
Sc: 0.712 0.100 0.856
Sc: 0.212 0.400 0.644
C: 0.151 0.651 0.750
C: 0.106 0.303 0.000
C: 0.500 0.500 0.043
C: 0.597 0.807 0.833
C: 0.903 0.307 0.333
C: 0.349 0.151 0.250
Sc: 0.288 0.900 0.144
C: 0.394 0.803 0.500
C: 0.693 0.903 0.667
C: 0.193 0.597 0.833
C: 0.307 0.097 0.333
Sc: 0.100 0.288 0.144
Sc: 0.100 0.288 0.856
Sc: 0.900 0.712 0.144
Sc: 0.400 0.788 0.356
Sc: 0.500 0.500 0.500
C: 0.349 0.151 0.750
C: 0.697 0.106 0.000
C: 0.097 0.693 0.333
Sc: 0.597 0.800 0.000
C: 0.903 0.307 0.667
C: 0.500 0.500 0.657
Sc: 0.900 0.712 0.856
Sc: 0.700 0.903 0.500
Sc: 0.097 0.700 0.500
Sc: 0.000 0.000 0.688
C: 0.651 0.849 0.250
C: 0.807 0.403 0.833
C: 0.403 0.193 0.167
C: 0.849 0.349 0.250
Sc: 0.600 0.212 0.644
Sc: 0.403 0.200 0.000
C: 0.500 0.500 0.957
Sc: 0.200 0.597 0.000
Sc: 0.212 0.400 0.356
C: 0.307 0.097 0.667
C: 0.151 0.651 0.250
C: 0.597 0.807 0.167
C: 0.849 0.349 0.750
Sc: 0.903 0.300 0.500
C: 0.651 0.849 0.750
C: 0.894 0.697 0.000
Sc: 0.712 0.100 0.144
Sc: 0.400 0.788 0.644
Sc: 0.500 0.500 0.188
C: 0.000 0.000 0.543
C: 0.606 0.197 0.500
Sc: 0.288 0.900 0.856
C: 0.403 0.193 0.833
C: 0.303 0.894 0.000
Sc: 0.000 0.000 0.000
Sc: 0.300 0.097 0.500
Sc: 0.600 0.212 0.356

***

## Sc2C (meta-GGA SCAN)

Data for a PBEsol-optimized structure of Sc2C.

Values from the calculation:
ΔE_f: -0.4844 eV/atom
Total DFT energy (no corrections): -13.34 eV per atom
V: 53 Å³/f.u.

Lattice parameters (Å, degrees): 3.267 4.630 7.204 90.00 103.11 90.00
Atoms (fractional coordinates):
Sc: 0.199 0.750 0.399
Sc: 0.582 0.250 0.164
C: 0.814 0.750 0.628
C: 0.186 0.250 0.372
Sc: 0.801 0.250 0.601
Sc: 0.418 0.750 0.836

***

## Sc2C (meta-GGA SCAN)

Data for a PBEsol-optimized structure of Sc2C.

Values from the calculation:
ΔE_f: -0.4670 eV/atom
Total DFT energy (no corrections): -13.33 eV per atom
V: 49 Å³/f.u.

Lattice parameters (Å, degrees): 5.387 5.622 5.622 120.00 90.00 90.00
Atoms (fractional coordinates):
Sc: 0.741 0.668 0.668
Sc: 0.741 0.000 0.332
C: 0.500 0.333 0.667
Sc: 0.741 0.332 0.000
Sc: 0.259 0.000 0.668
Sc: 0.259 0.668 0.000
C: 0.500 0.667 0.333
C: 0.000 0.000 0.000
Sc: 0.259 0.332 0.332

***

## Sc3C4 (meta-GGA SCAN)

Data for a PBEsol-optimized structure of Sc3C4.

Values from the calculation:
ΔE_f: 0.7685 eV/atom
E above lowest polymorph: 1303 meV per atom
Total DFT energy (no corrections): -11.10 eV per atom
V: 96 Å³/f.u.

Lattice parameters (Å, degrees): 4.581 4.581 4.581 90.00 90.00 90.00
Atoms (fractional coordinates):
Sc: 0.000 0.500 0.000
C: 0.500 0.500 0.000
Sc: 0.000 0.000 0.500
Sc: 0.500 0.000 0.000
C: 0.000 0.500 0.500
C: 0.500 0.000 0.500
C: 0.000 0.000 0.000

***

## Sc2C (meta-GGA SCAN)

Data for a PBEsol-optimized structure of Sc2C.

Values from the calculation:
ΔE_f: -0.5345 eV/atom
Total DFT energy (no corrections): -13.39 eV per atom
V: 53 Å³/f.u.

Lattice parameters (Å, degrees): 3.279 3.279 11.383 90.00 90.00 120.00
Atoms (fractional coordinates):
Sc: 0.333 0.667 0.607
C: 0.000 0.000 0.000
Sc: 0.667 0.333 0.393
Sc: 0.667 0.333 0.107
C: 0.000 0.000 0.500
Sc: 0.333 0.667 0.893